This record from the Open Quantum Materials Database describes a relaxed structure of CoCu5B2. The functional is PBE-GGA.

Cell and atoms, written as POSCAR:
```
CoCu5B2
1.0
-3.277 1.026 -0.311
-1.072 -3.150 0.903
-0.030 1.894 6.571
Cu B Co
5 2 1
Cartesian
-2.175 -1.062 0.296
-1.661 1.937 4.783
-1.646 0.984 1.477
-0.544 -1.104 2.084
-0.559 -0.151 5.390
0.000 0.000 0.000
-2.189 -0.115 3.582
-0.015 0.947 3.286
```

Summary:
For the energy, the calculation gives -4.43 eV/atom. As for the total magnetic moment: 0.0 μB/f.u.

This record from the Open Quantum Materials Database describes a relaxed structure of Tm2LuIn3AgPt2. The functional is PBE-GGA.

Cell and atoms, written as POSCAR:
```
Tm2LuIn3AgPt2
1.0
-3.476 -0.010 -1.305
-0.913 -7.313 2.488
-1.777 5.949 4.686
Pt In Ag Tm Lu
2 3 1 2 1
Cartesian
-2.939 -2.895 2.568
-3.226 1.521 3.300
-2.217 1.599 0.611
-3.702 -1.001 4.586
-1.984 -1.977 0.018
0.000 0.000 0.000
-0.539 -4.319 1.469
-1.049 3.514 2.767
-1.101 -0.559 2.938
```

Summary:
For the energy, the calculation gives -4.88 eV/atom. As for the total magnetic moment: 0.0 μB/f.u.

Number 2 is which compound?
Tm2LuIn3AgPt2